[1]
This record from the Alexandria database describes a geometry-optimized BeAsH structure. The functional is PBE-GGA.

N(E_F) = 1.28 states/eV/f.u.
M_tot = 0.00 μB/cell
Calculated total energy = -3.706 eV/atom

abc: 2.456 3.525 4.978
angles: 89.87 87.30 89.99
Fractional positions:
Be 0.000 0.000 0.000
As 0.021 0.501 0.702
H 0.483 0.000 0.167



[2]
This record from the Alexandria database describes a geometry-optimized BeAsH structure. The functional is PBE-GGA.

N(E_F) = 0.63 states/eV/f.u.
M_tot = 0.00 μB/cell
Calculated total energy = -3.534 eV/atom

abc: 6.154 3.397 6.787
angles: 90.00 90.00 90.00
Fractional positions:
Be 0.117 0.250 0.199
Be 0.383 0.750 0.699
Be 0.617 0.250 0.301
Be 0.883 0.750 0.801
As 0.189 0.250 0.874
As 0.311 0.750 0.374
As 0.689 0.250 0.626
As 0.811 0.750 0.126
H 0.141 0.250 0.417
H 0.359 0.750 0.917
H 0.641 0.250 0.083
H 0.859 0.750 0.583



[3]
This record from the Alexandria database describes a geometry-optimized BeHgAs2H structure. The functional is PBE-GGA.

N(E_F) = 2.22 states/eV/f.u.
M_tot = 0.00 μB/cell
Calculated total energy = -2.426 eV/atom

abc: 5.277 5.277 3.391
angles: 90.00 90.00 90.00
Fractional positions:
Be 0.000 0.000 0.000
Hg 0.500 0.500 0.500
As 0.000 0.500 0.500
As 0.500 0.000 0.500
H 0.500 0.500 0.000



[4]
This record from the Alexandria database describes a geometry-optimized K2BeAsH structure. The functional is PBE-GGA.

N(E_F) = 0.00 states/eV/f.u.
M_tot = 0.00 μB/cell
Calculated total energy = -3.122 eV/atom

abc: 6.715 3.910 9.657
angles: 90.00 110.11 90.00
Fractional positions:
K 0.214 0.250 0.411
K 0.270 0.750 0.051
K 0.730 0.250 0.949
K 0.786 0.750 0.589
Be 0.216 0.250 0.763
Be 0.784 0.750 0.237
As 0.345 0.750 0.720
As 0.655 0.250 0.280
H 0.046 0.250 0.828
H 0.954 0.750 0.172



[5]
This record from the Alexandria database describes a geometry-optimized KBe2AsH2 structure. The functional is PBE-GGA.

N(E_F) = 0.00 states/eV/f.u.
M_tot = 0.00 μB/cell
Calculated total energy = -3.646 eV/atom

abc: 7.011 4.387 7.171
angles: 90.00 119.23 90.00
Fractional positions:
K 0.173 0.250 0.347
K 0.827 0.750 0.653
Be 0.334 0.000 0.001
Be 0.334 0.500 0.001
Be 0.666 0.000 0.999
Be 0.666 0.500 0.999
As 0.370 0.750 0.742
As 0.630 0.250 0.258
H 0.163 0.250 0.915
H 0.251 0.750 0.089
H 0.749 0.250 0.911
H 0.837 0.750 0.085



[6]
This record from the Alexandria database describes a geometry-optimized LiBe2AsH2 structure. The functional is PBE-GGA.

N(E_F) = 0.00 states/eV/f.u.
M_tot = 0.00 μB/cell
Calculated total energy = -3.737 eV/atom

abc: 5.967 4.310 6.422
angles: 90.00 114.87 90.00
Fractional positions:
Li 0.006 0.250 0.307
Li 0.994 0.750 0.693
Be 0.353 0.000 0.091
Be 0.353 0.500 0.091
Be 0.647 0.000 0.909
Be 0.647 0.500 0.909
As 0.279 0.250 0.755
As 0.721 0.750 0.245
H 0.168 0.750 0.058
H 0.325 0.250 0.240
H 0.675 0.750 0.760
H 0.832 0.250 0.942



[7]
This record from the Alexandria database describes a geometry-optimized MgBeAsH structure. The functional is PBE-GGA.

N(E_F) = 0.00 states/eV/f.u.
M_tot = 0.00 μB/cell
Calculated total energy = -3.640 eV/atom

abc: 9.007 9.007 9.007
angles: 24.22 24.22 24.22
Fractional positions:
Mg 0.000 0.000 0.000
Mg 0.500 0.500 0.500
Be 0.241 0.241 0.241
Be 0.759 0.759 0.759
As 0.399 0.399 0.399
As 0.601 0.601 0.601
H 0.185 0.185 0.185
H 0.815 0.815 0.815



[8]
This record from the Alexandria database describes a geometry-optimized NaBeAsH structure. The functional is PBE-GGA.

N(E_F) = 1.98 states/eV/f.u.
M_tot = 0.17 μB/cell
Calculated total energy = -3.362 eV/atom

abc: 3.874 3.874 4.587
angles: 90.00 90.00 120.00
Fractional positions:
Na 0.000 0.000 0.000
Be 0.667 0.333 0.550
As 0.333 0.667 0.471
H 0.667 0.333 0.865



[9]
This record from the Alexandria database describes a geometry-optimized Na2BeAsH structure. The functional is PBE-GGA.

N(E_F) = 0.00 states/eV/f.u.
M_tot = 0.00 μB/cell
Calculated total energy = -3.192 eV/atom

abc: 5.914 3.819 8.390
angles: 90.00 109.85 90.00
Fractional positions:
Na 0.189 0.250 0.410
Na 0.223 0.250 0.952
Na 0.777 0.750 0.048
Na 0.811 0.750 0.590
Be 0.442 0.750 0.236
Be 0.558 0.250 0.764
As 0.359 0.750 0.714
As 0.641 0.250 0.286
H 0.182 0.750 0.159
H 0.818 0.250 0.841



[10]
This record from the Alexandria database describes a geometry-optimized Be2NiAsH structure. The functional is PBE-GGA.

N(E_F) = 1.62 states/eV/f.u.
M_tot = 0.10 μB/cell
Calculated total energy = -3.504 eV/atom

abc: 4.381 4.381 3.162
angles: 90.00 90.00 90.00
Fractional positions:
Be 0.000 0.500 0.000
Be 0.500 0.000 0.000
Ni 0.000 0.000 0.500
As 0.500 0.500 0.000
H 0.500 0.500 0.500



[11]
This record from the Alexandria database describes a geometry-optimized BeNiAs2H structure. The functional is PBE-GGA.

N(E_F) = 2.75 states/eV/f.u.
M_tot = 0.00 μB/cell
Calculated total energy = -3.654 eV/atom

abc: 4.490 4.490 4.067
angles: 90.00 90.00 90.00
Fractional positions:
Be 0.000 0.000 0.000
Ni 0.000 0.000 0.500
As 0.000 0.500 0.500
As 0.500 0.000 0.500
H 0.500 0.500 0.000



[12]
This record from the Alexandria database describes a geometry-optimized Be2AsHO6 structure. The functional is PBE-GGA.

N(E_F) = 1.09 states/eV/f.u.
M_tot = 0.67 μB/cell
Calculated total energy = -5.941 eV/atom

abc: 7.870 7.870 4.027
angles: 102.65 102.65 104.30
Fractional positions:
Be 0.143 0.342 0.273
Be 0.342 0.143 0.773
Be 0.658 0.857 0.227
Be 0.857 0.658 0.727
As 0.263 0.737 0.750
As 0.737 0.263 0.250
H 0.365 0.635 0.250
H 0.635 0.365 0.750
O 0.066 0.672 0.851
O 0.218 0.219 0.505
O 0.219 0.218 0.005
O 0.271 0.560 0.408
O 0.328 0.934 0.649
O 0.440 0.729 0.092
O 0.560 0.271 0.908
O 0.672 0.066 0.351
O 0.729 0.440 0.592
O 0.781 0.782 0.995
O 0.782 0.781 0.495
O 0.934 0.328 0.149